[1]
CdCuHg2 | PBE | relaxed

Cell lengths 3.100, 5.780, 9.572 Å; angles 90.00, 90.00, 90.00 degrees
Space group Cmmm (No. 65)
Asymmetric unit:
Cd: 0.000 0.000 0.000 (multiplicity 2)
Cu: 0.000 0.000 0.500 (multiplicity 2)
Hg: 0.000 0.500 0.274 (multiplicity 4)

Summary:
- Calculated total energy: -9.8 eV per cell
- Formation energy from the elements: 0.181 eV/atom



[2]
CdCuHg2 | PBE | relaxed

Cell lengths 9.874, 3.310, 5.748 Å; angles 90.00, 112.10, 90.00 degrees
Space group Cm (No. 8)
Asymmetric unit:
Cd: 0.000 0.000 0.000 (multiplicity 2)
Cu: 0.182 0.500 0.365 (multiplicity 2)
Hg: 0.218 0.000 0.769 (multiplicity 2)
Hg: 0.408 0.000 0.394 (multiplicity 2)

Summary:
- Calculated total energy: -10.1 eV per cell
- Formation energy from the elements: 0.143 eV/atom



[3]
CdCuHg2 | PBE | relaxed

Cell lengths 3.330, 4.804, 5.308 Å; angles 90.00, 92.63, 90.00 degrees
Space group P2/m (No. 10)
Asymmetric unit:
Cd: 0.000 0.000 0.000 (multiplicity 1)
Cu: 0.500 0.000 0.500 (multiplicity 1)
Hg: 0.281 0.500 0.260 (multiplicity 2)

Summary:
- Calculated total energy: -4.9 eV per cell
- Formation energy from the elements: 0.189 eV/atom



[4]
CdCuHg2 | PBE | relaxed

Cell lengths 4.319, 4.319, 19.404 Å; angles 90.00, 90.00, 90.00 degrees
Space group I-42d (No. 122)
Asymmetric unit:
Cd: 0.000 0.000 0.000 (multiplicity 4)
Cu: 0.000 0.000 0.500 (multiplicity 4)
Hg: 0.231 0.250 0.625 (multiplicity 8)

Summary:
- Calculated total energy: -19.1 eV per cell
- Formation energy from the elements: 0.210 eV/atom



[5]
CdCuHg2 | PBE | relaxed

Cell lengths 4.341, 4.341, 8.624 Å; angles 90.00, 90.00, 90.00 degrees
Space group I-4m2 (No. 119)
Asymmetric unit:
Cd: 0.000 0.000 0.000 (multiplicity 2)
Cu: 0.000 0.500 0.750 (multiplicity 2)
Hg: 0.000 0.000 0.500 (multiplicity 2)
Hg: 0.000 0.500 0.250 (multiplicity 2)

Summary:
- Calculated total energy: -9.7 eV per cell
- Formation energy from the elements: 0.195 eV/atom



[6]
CdCuHg2 | PBE | relaxed

Cell lengths 4.5621, 4.5621, 14.6332 Å; angles 90.00, 90.00, 120.00 degrees
Space group R3m (No. 160, hexagonal axes)
Asymmetric unit:
Cd: 0.0000 0.0000 0.0000 (multiplicity 3)
Cu: 0.0000 0.0000 0.1866 (multiplicity 3)
Hg: 0.0000 0.0000 0.5658 (multiplicity 3)
Hg: 0.0000 0.0000 0.7795 (multiplicity 3)

Summary:
- Calculated total energy: -15.1 eV per cell
- Formation energy from the elements: 0.148 eV/atom